First-principles (PBE) data for Sc2FeRu after structural relaxation, as listed in Alexandria via LeMat-Bulk.

Cell lengths 7.014, 7.014, 5.723 Å; angles 52.21, 52.21, 90.00 degrees
Last column: magnetic moment on the atom in μB.
Atoms (fractional coordinates):
Fe1 0.250 0.750 0.500  2.28
Ru1 0.750 0.250 0.500  0.31
Ru2 0.000 0.000 0.000  0.32
Sc1 0.875 0.879 0.750  -0.24
Fe2 0.500 0.500 0.000  2.28
Sc2 0.121 0.625 0.250  -0.24
Sc3 0.375 0.371 0.750  -0.24
Sc4 0.629 0.125 0.250  -0.23

Output
**V**: 17.6 A^3/atom
**Symmetry**: I-42d (122)
**Magnetization**: 2.01 μB per formula unit
**Density**: 5835 kg/m³
**Energy of formation**: 0.180 eV per atom